Crystalline RbGaSbAu2 at its relaxed geometry, computed with PBE.

Computed properties:
Total magnetization in μB/f.u.: 0.00
Formation energy from raw total energies in eV/atom: 0.00
SG: No. 123

a b c (Å): 5.1363 5.1363 5.4351
angles (deg): 90.00 90.00 90.00
Element x y z (fractional)
Rb 0.0000 0.0000 0.0000
Ga 0.5000 0.5000 0.5000
Sb 0.5000 0.5000 0.0000
Au 0.0000 0.5000 0.5000
Au 0.5000 0.0000 0.5000

Crystalline ZnSn2F11 at its relaxed geometry, computed with PBE.

Computed properties:
Total magnetization in μB/f.u.: 1.00
Formation energy from raw total energies in eV/atom: -2.11
SG: No. 72

a b c (Å): 8.2468 8.2468 8.2468
angles (deg): 121.04 106.23 101.82
Element x y z (fractional)
Zn 0.2500 0.2500 0.0000
Zn 0.7500 0.7500 0.0000
Sn 0.2128 0.6112 0.8240
Sn 0.2872 0.1112 0.3984
Sn 0.7128 0.8888 0.6016
Sn 0.7872 0.3888 0.1760
F 0.0000 0.5000 0.5000
F 0.0036 0.9597 0.2199
F 0.0425 0.4688 0.2071
F 0.2244 0.3598 0.5841
F 0.2383 0.0312 0.5737
F 0.2399 0.4597 0.9562
F 0.2601 0.2163 0.2199
F 0.2617 0.8354 0.7929
F 0.2756 0.8598 0.1354
F 0.4575 0.6646 0.4263
F 0.4964 0.7163 0.9562
F 0.5000 0.0000 0.5000
F 0.5036 0.2837 0.0438
F 0.5425 0.3354 0.5737
F 0.7244 0.1402 0.8646
F 0.7383 0.1646 0.2071
F 0.7399 0.7837 0.7801
F 0.7601 0.5403 0.0438
F 0.7617 0.9688 0.4263
F 0.7756 0.6402 0.4159
F 0.9575 0.5312 0.7929
F 0.9964 0.0403 0.7801

Crystalline Cd2SiSe at its relaxed geometry, computed with PBE.

Computed properties:
Energy relative to the lowest polymorph listed for this composition in kJ/mol of atoms: 9.71
Total magnetization in μB/f.u.: 0.00
Formation energy from raw total energies in eV/atom: 0.18
SG: No. 99

a b c (Å): 3.3885 3.3885 7.5420
angles (deg): 90.00 90.00 90.00
Element x y z (fractional)
Cd 0.0000 0.0000 0.0000
Cd 0.5000 0.5000 0.2664
Si 0.5000 0.5000 0.7241
Se 0.0000 0.0000 0.5689

Crystalline YNiRh2 at its relaxed geometry, computed with PBE.

Computed properties:
Total magnetization in μB/f.u.: 0.00
E_tot in eV/cell: -54.507
SG: No. 122

a b c (Å): 9.4449 9.4449 9.4449
angles (deg): 155.59 155.59 34.79
Element x y z (fractional)
Y 0.0000 0.0000 0.0000
Y 0.7500 0.2500 0.5000
Ni 0.2500 0.7500 0.5000
Ni 0.5000 0.5000 0.0000
Rh 0.1853 0.6250 0.0603
Rh 0.3750 0.4353 0.5603
Rh 0.5647 0.1250 0.9397
Rh 0.8750 0.8147 0.4397

Among the records above, which one has the highest total magnetization? ZnSn2F11